Material: Nd5DyY2Th
Method: DFT, PBE
State: optimized geometry

Output
Space-group type: No. 36
Calculated formation energy (eV per atom): 0.1521

Cell lengths 5.6768, 10.6934, 10.6542 Å; angles 90.00, 90.00, 105.39 degrees
Element x y z (fractional)
Nd 0.3868 0.7736 0.0244
Nd 0.7228 0.4455 0.8116
Nd 0.4825 0.9650 0.7459
Nd 0.2921 0.5842 0.7032
Nd 0.9852 0.9704 0.5187
Nd 0.6132 0.2264 0.5244
Nd 0.2772 0.5545 0.3116
Nd 0.5175 0.0350 0.2459
Nd 0.7079 0.4158 0.2032
Nd 0.0148 0.0296 0.0187
Dy 0.5952 0.1904 0.9612
Dy 0.4048 0.8096 0.4612
Y 0.8844 0.7687 0.8105
Y 0.1125 0.2249 0.7381
Y 0.1156 0.2313 0.3105
Y 0.8875 0.7751 0.2381
Th 0.7989 0.5978 0.5104
Th 0.2011 0.4022 0.0104


Material: Ca4TlHg5
Method: DFT, PBE
State: optimized geometry

Output
Space-group type: No. 123
Calculated formation energy (eV per atom): -0.4596

Cell lengths 3.8100, 3.8100, 18.6479 Å; angles 90.00, 90.00, 90.00 degrees
Element x y z (fractional)
Ca 0.0000 0.0000 0.1967
Ca 0.0000 0.0000 0.3986
Ca 0.0000 0.0000 0.6014
Ca 0.0000 0.0000 0.8033
Tl 0.0000 0.0000 0.0000
Hg 0.5000 0.5000 0.1011
Hg 0.5000 0.5000 0.2973
Hg 0.5000 0.5000 0.5000
Hg 0.5000 0.5000 0.7027
Hg 0.5000 0.5000 0.8989


Material: Rb4ErPu3O12
Method: DFT, PBE
State: optimized geometry

Output
Space-group type: No. 229
Energy relative to the elements, uncorrected (meV/atom): -2553

Cell lengths 7.4653, 7.4653, 7.4653 Å; angles 109.47, 109.47, 109.47 degrees
Element x y z (fractional)
Rb 0.5000 0.5000 0.5000
Rb 0.0000 0.0000 0.5000
Rb 0.5000 0.0000 0.0000
Rb 0.0000 0.5000 0.0000
Er 0.0000 0.0000 0.0000
Pu 0.5000 0.0000 0.5000
Pu 0.5000 0.5000 0.0000
Pu 0.0000 0.5000 0.5000
O 0.2500 0.5000 0.7500
O 0.7349 0.0000 0.7349
O 0.2651 0.0000 0.2651
O 0.7500 0.5000 0.2500
O 0.7349 0.7349 0.0000
O 0.2651 0.2651 0.0000
O 0.7500 0.2500 0.5000
O 0.2500 0.7500 0.5000
O 0.5000 0.2500 0.7500
O 0.0000 0.7349 0.7349
O 0.5000 0.7500 0.2500
O 0.0000 0.2651 0.2651


Material: Tl7In5Hg
Method: DFT, PBE
State: optimized geometry

Output
Space-group type: No. 44
Calculated formation energy (eV per atom): 0.0490

Cell lengths 6.1322, 8.6230, 8.6230 Å; angles 80.62, 69.17, 69.17 degrees
Element x y z (fractional)
Tl 0.4828 0.5172 0.5172
Tl 0.1582 0.8418 0.8418
Tl 0.0490 0.2708 0.6311
Tl 0.0490 0.6311 0.2708
Tl 0.2771 0.2229 0.2229
Tl 0.5465 0.7977 0.1093
Tl 0.5465 0.1093 0.7977
In 0.5488 0.9467 0.4559
In 0.0486 0.9467 0.4559
In 0.5488 0.4559 0.9467
In 0.0486 0.4559 0.9467
In 0.8133 0.6867 0.6867
Hg 0.8826 0.1174 0.1174


Material: Pr3NdSm3
Method: DFT, PBE
State: optimized geometry

Output
Space-group type: No. 148
Calculated formation energy (eV per atom): 0.1986
Offset from the most stable computed form (eV per atom): 0.000

Cell lengths 9.0545, 9.0545, 9.0545 Å; angles 58.73, 58.73, 58.73 degrees
Element x y z (fractional)
Pr 0.7201 0.5661 0.0696
Pr 0.0696 0.7201 0.5661
Pr 0.5661 0.0696 0.7201
Pr 0.4339 0.9304 0.2799
Pr 0.9304 0.2799 0.4339
Pr 0.2799 0.4339 0.9304
Nd 0.3462 0.3462 0.3462
Nd 0.6538 0.6538 0.6538
Sm 0.7108 0.1765 0.9378
Sm 0.1765 0.9378 0.7108
Sm 0.9378 0.7108 0.1765
Sm 0.0622 0.2892 0.8235
Sm 0.8235 0.0622 0.2892
Sm 0.2892 0.8235 0.0622


Material: Dy5US6
Method: DFT, PBE
State: optimized geometry

Output
Space-group type: No. 12
Energy relative to the elements, uncorrected (meV/atom): -1873

Cell lengths 6.7691, 6.7602, 6.7541 Å; angles 59.97, 80.31, 70.35 degrees
Element x y z (fractional)
S 0.7505 0.0835 0.3322
S 0.2495 0.5843 0.3322
S 0.2521 0.2496 0.0000
S 0.7479 0.7504 0.0000
S 0.7505 0.4158 0.6678
S 0.2495 0.9165 0.6678
U 0.0000 0.0000 0.0000
Dy 0.5000 0.1700 0.6599
Dy 0.0000 0.3323 0.3355
Dy 0.5000 0.5000 0.0000
Dy 0.0000 0.6677 0.6645
Dy 0.5000 0.8300 0.3401


Material: Fe2CuW
Method: DFT, PBE
State: optimized geometry

Output
Space-group type: No. 6
Calculated formation energy (eV per atom): 0.2218
Offset from the most stable computed form (eV per atom): 0.053

Cell lengths 4.1575, 2.5649, 4.8985 Å; angles 79.21, 90.00, 90.00 degrees
Element x y z (fractional)
Cu 0.5000 0.8232 0.7587
Fe 0.0000 0.9792 0.0063
Fe 0.5000 0.2156 0.2374
W 0.0000 0.4820 0.4976


Material: CsFe2CoI8
Method: DFT, PBE
State: optimized geometry

Output
Space-group type: No. 12
Energy relative to the elements, uncorrected (meV/atom): -324

Cell lengths 7.1837, 7.1837, 10.9510 Å; angles 82.62, 82.62, 68.17 degrees
Element x y z (fractional)
Cs 0.0000 0.0000 0.5000
Fe 0.6115 0.6115 0.1980
Fe 0.3885 0.3885 0.8020
Co 0.0000 0.0000 0.0000
I 0.7785 0.2654 0.8111
I 0.7674 0.7674 0.0081
I 0.6793 0.6793 0.4083
I 0.3207 0.3207 0.5917
I 0.2326 0.2326 0.9918
I 0.2654 0.7785 0.8111
I 0.7346 0.2215 0.1889
I 0.2215 0.7346 0.1889


Material: ScInBr2
Method: DFT, PBE
State: optimized geometry

Output
Space-group type: No. 38
Energy relative to the elements, uncorrected (meV/atom): -731
Offset from the most stable computed form (eV per atom): 0.251

Cell lengths 5.2924, 3.7529, 5.8832 Å; angles 71.36, 90.00, 90.00 degrees
Element x y z (fractional)
Br 0.0000 0.8277 0.9690
Br 0.5000 0.2291 0.1661
In 0.0000 0.5335 0.5594
Sc 0.5000 0.9098 0.8054


Material: NaNiCl2
Method: DFT, PBE
State: optimized geometry

Output
Space-group type: No. 225
Energy relative to the elements, uncorrected (meV/atom): -504
Offset from the most stable computed form (eV per atom): 0.346

Cell lengths 4.6724, 4.6724, 4.6724 Å; angles 60.00, 60.00, 60.00 degrees
Element x y z (fractional)
Ni 0.5000 0.5000 0.5000
Na 0.0000 0.0000 0.0000
Cl 0.2500 0.2500 0.2500
Cl 0.7500 0.7500 0.7500


Material: Tm2PuHfAs4
Method: DFT, PBE
State: optimized geometry

Output
Space-group type: No. 10
Calculated formation energy (eV per atom): -1.2551

Cell lengths 4.0140, 6.9491, 6.9451 Å; angles 109.27, 90.00, 90.00 degrees
Element x y z (fractional)
Tm 0.5000 0.0000 0.5000
Tm 0.0000 0.5000 0.5000
Pu 0.0000 0.0000 0.0000
Hf 0.5000 0.5000 0.0000
As 0.5000 0.2580 0.2468
As 0.5000 0.7420 0.7532
As 0.0000 0.2615 0.7588
As 0.0000 0.7385 0.2412


Material: Pm2YIn3Te6
Method: DFT, PBE
State: optimized geometry

Output
Space-group type: No. 12
Energy relative to the elements, uncorrected (meV/atom): -989

Cell lengths 7.7432, 7.7432, 8.5098 Å; angles 98.73, 98.73, 120.00 degrees
Element x y z (fractional)
Pm 0.3335 0.6665 0.0000
Pm 0.6665 0.3335 0.0000
Y 0.0000 0.0000 0.0000
In 0.1681 0.8319 0.5000
In 0.8319 0.1681 0.5000
In 0.5000 0.5000 0.5000
Te 0.9257 0.5979 0.7770
Te 0.7471 0.7471 0.2247
Te 0.0743 0.4021 0.2230
Te 0.5979 0.9257 0.7770
Te 0.2529 0.2529 0.7753
Te 0.4021 0.0743 0.2230


Material: CoTcGeRh
Method: DFT, PBE
State: optimized geometry

Output
Space-group type: No. 216
Calculated formation energy (eV per atom): -0.1004

Cell lengths 4.2184, 4.2184, 4.2184 Å; angles 60.00, 60.00, 60.00 degrees
Element x y z (fractional)
Co 0.0000 0.0000 0.0000
Ge 0.5000 0.5000 0.5000
Rh 0.2500 0.2500 0.2500
Tc 0.7500 0.7500 0.7500


Material: NaLi2Ag
Method: DFT, PBE
State: optimized geometry

Output
Space-group type: No. 160
Calculated formation energy (eV per atom): -0.0215
Offset from the most stable computed form (eV per atom): 0.082

Cell lengths 4.6368, 4.6368, 5.4408 Å; angles 64.78, 64.78, 60.00 degrees
Element x y z (fractional)
Na 0.4951 0.4951 0.5146
Li 0.0183 0.0183 0.9450
Li 0.2770 0.2770 0.1690
Ag 0.7095 0.7095 0.8714


Material: Nd3Dy5Er3
Method: DFT, PBE
State: optimized geometry

Output
Space-group type: No. 189
Calculated formation energy (eV per atom): 0.8117

Cell lengths 5.3836, 9.6698, 9.6698 Å; angles 120.00, 90.00, 90.00 degrees
Element x y z (fractional)
Nd 0.5000 0.6348 0.6348
Nd 0.5000 0.0000 0.3652
Nd 0.5000 0.3652 0.0000
Dy 0.5000 0.3333 0.6667
Dy 0.5000 0.6667 0.3333
Dy 0.5000 0.2631 0.2631
Dy 0.5000 0.0000 0.7369
Dy 0.5000 0.7369 0.0000
Er 0.0000 0.4533 0.4533
Er 0.0000 0.5467 0.0000
Er 0.0000 0.0000 0.5467


Material: Tb3Pm7Pr
Method: DFT, PBE
State: optimized geometry

Output
Space-group type: No. 156
Calculated formation energy (eV per atom): 0.1852
Offset from the most stable computed form (eV per atom): 0.000

Cell lengths 8.7093, 7.2151, 7.2151 Å; angles 120.00, 90.00, 90.00 degrees
Element x y z (fractional)
Tb 0.7838 0.5003 0.4997
Tb 0.7838 0.5003 0.0006
Tb 0.7838 0.9994 0.4997
Pm 0.1109 0.1672 0.8328
Pm 0.1109 0.1672 0.3343
Pm 0.1230 0.6667 0.3333
Pm 0.4551 0.8326 0.1674
Pm 0.4551 0.3347 0.1674
Pm 0.4551 0.8326 0.6653
Pm 0.1109 0.6657 0.8328
Pr 0.4427 0.3333 0.6667


Material: Ba2LaSnPd6
Method: DFT, PBE
State: optimized geometry

Output
Space-group type: No. 225
Calculated formation energy (eV per atom): -0.2202

Cell lengths 7.3515, 7.3515, 7.3515 Å; angles 60.00, 60.00, 90.00 degrees
Element x y z (fractional)
Ba 0.2500 0.7500 0.5000
Ba 0.7500 0.2500 0.5000
La 0.5000 0.5000 0.0000
Sn 0.0000 0.0000 0.0000
Pd 0.2474 0.7526 0.0000
Pd 0.7526 0.7526 0.0000
Pd 0.2474 0.2474 0.5053
Pd 0.7526 0.2474 0.0000
Pd 0.2474 0.2474 0.0000
Pd 0.7526 0.7526 0.4947


Material: In5PtRh4
Method: DFT, PBE
State: optimized geometry

Output
Space-group type: No. 123
Calculated formation energy (eV per atom): -0.4135

Cell lengths 3.1657, 3.1657, 17.1452 Å; angles 90.00, 90.00, 90.00 degrees
Element x y z (fractional)
In 0.5000 0.5000 0.1051
In 0.5000 0.5000 0.3030
In 0.5000 0.5000 0.5000
In 0.5000 0.5000 0.6970
In 0.5000 0.5000 0.8949
Pt 0.0000 0.0000 0.0000
Rh 0.0000 0.0000 0.2044
Rh 0.0000 0.0000 0.4017
Rh 0.0000 0.0000 0.5983
Rh 0.0000 0.0000 0.7956


Material: Sr2AsBr
Method: DFT, PBE
State: optimized geometry

Output
Space-group type: No. 38
Energy relative to the elements, uncorrected (meV/atom): -1369

Cell lengths 6.3698, 6.3698, 4.9412 Å; angles 90.00, 90.00, 38.26 degrees
Element x y z (fractional)
Sr 0.0020 0.0020 0.1251
Sr 0.7552 0.7552 0.6251
As 0.4900 0.4900 0.6249
Br 0.2529 0.2529 0.1249


Material: Te2MoPdI
Method: DFT, PBE
State: optimized geometry

Output
Space-group type: No. 123
Energy relative to the elements, uncorrected (meV/atom): 708
Offset from the most stable computed form (eV per atom): 0.000

Cell lengths 5.1801, 5.1801, 5.8082 Å; angles 90.00, 90.00, 90.00 degrees
Element x y z (fractional)
I 0.0000 0.0000 0.5000
Mo 0.0000 0.0000 0.0000
Te 0.0000 0.5000 0.0000
Te 0.5000 0.0000 0.0000
Pd 0.5000 0.5000 0.5000


Material: NdPaP
Method: DFT, PBE
State: optimized geometry

Output
Space-group type: No. 107
Calculated formation energy (eV per atom): -0.5087
Offset from the most stable computed form (eV per atom): 0.157

Cell lengths 3.5185, 3.5185, 6.5867 Å; angles 105.49, 105.49, 90.00 degrees
Element x y z (fractional)
P 0.3210 0.3210 0.6420
Pa 0.7060 0.7060 0.4120
Nd 0.9730 0.9730 0.9460


Material: Sr2US6
Method: DFT, PBE
State: optimized geometry

Output
Space-group type: No. 136
Energy relative to the elements, uncorrected (meV/atom): -1182
Offset from the most stable computed form (eV per atom): 0.102

Cell lengths 6.6442, 6.6442, 12.8507 Å; angles 90.00, 90.00, 90.00 degrees
Element x y z (fractional)
Sr 0.5000 0.5000 0.3294
Sr 0.5000 0.5000 0.6706
Sr 0.0000 0.0000 0.1706
Sr 0.0000 0.0000 0.8294
U 0.5000 0.5000 0.0000
U 0.0000 0.0000 0.5000
S 0.6868 0.6868 0.1425
S 0.6868 0.6868 0.8575
S 0.7302 0.7302 0.5000
S 0.7698 0.2302 0.0000
S 0.8132 0.1868 0.3575
S 0.8132 0.1868 0.6425
S 0.1868 0.8132 0.3575
S 0.1868 0.8132 0.6425
S 0.2302 0.7698 0.0000
S 0.2698 0.2698 0.5000
S 0.3132 0.3132 0.1425
S 0.3132 0.3132 0.8575


Material: CdGa3
Method: DFT, PBE
State: optimized geometry

Output
Space-group type: No. 187
Calculated formation energy (eV per atom): 0.0240

Cell lengths 2.9990, 2.9990, 10.1865 Å; angles 90.00, 90.00, 120.00 degrees
Element x y z (fractional)
Cd 0.6667 0.3333 0.5000
Ga 0.3333 0.6667 0.0000
Ga 0.0000 0.0000 0.7608
Ga 0.0000 0.0000 0.2392